DFT (PBE) results for ScCdBMo2 after structural relaxation.

Values from the calculation:
**Density of states at the Fermi level**: 0.94 states/eV per atom
**SG**: P4/mmm (123)
**Total energy**: -25.88 eV per cell
**M_tot**: 0.000 μB/atom

The structure in CIF format:
```
data_ScCdBMo2
_space_group_name_H-M_alt 'P 1'
_space_group_IT_number 1
_space_group_name_Hall 'P 1'
_cell_length_a 5.032
_cell_length_b 5.032
_cell_length_c 3.961
_cell_angle_alpha 90.00
_cell_angle_beta 90.00
_cell_angle_gamma 90.00
loop_
_atom_site_label
_atom_site_type_symbol
_atom_site_fract_x
_atom_site_fract_y
_atom_site_fract_z
Sc1 Sc 0.000 0.000 0.000
Cd1 Cd 0.500 0.500 0.500
B1 B 0.500 0.500 0.000
Mo1 Mo 0.000 0.500 0.500
Mo2 Mo 0.500 0.000 0.500
```